# GGA-PBE Zr2Ag2Hg, optimized geometry
data_Zr2Ag2Hg
_symmetry_space_group_name_H-M 'P 4/m b m'
_symmetry_Int_Tables_number 127
_symmetry_space_group_name_Hall '-P 4 2ab'
_cell_length_a 8.167
_cell_length_b 8.167
_cell_length_c 3.127
_cell_angle_alpha 90.00
_cell_angle_beta 90.00
_cell_angle_gamma 90.00
loop_
_atom_site_label
_atom_site_type_symbol
_atom_site_fract_x
_atom_site_fract_y
_atom_site_fract_z
_atom_site_occupancy
Zr1 Zr 0.175 0.325 0.000 1
Ag1 Ag 0.122 0.622 0.500 1
Hg1 Hg 0.000 0.000 0.500 1
# - energy of formation (eV per atom) = 0.04
# - energy relative to the lowest polymorph listed for this composition (meV per atom) = 119
# - VASP energy (Ry/atom) = -0.3368

=====

# GGA-PBE ZrAgHg2, optimized geometry
data_ZrAgHg2
_symmetry_space_group_name_H-M 'C m m m'
_symmetry_Int_Tables_number 65
_symmetry_space_group_name_Hall '-C 2 2'
_cell_length_a 6.452
_cell_length_b 8.838
_cell_length_c 2.986
_cell_angle_alpha 90.00
_cell_angle_beta 90.00
_cell_angle_gamma 90.00
loop_
_atom_site_label
_atom_site_type_symbol
_atom_site_fract_x
_atom_site_fract_y
_atom_site_fract_z
_atom_site_occupancy
Zr1 Zr 0.000 0.000 0.000 1
Ag1 Ag 0.000 0.500 0.000 1
Hg1 Hg 0.250 0.250 0.500 1
# - energy of formation (eV per atom) = 0.04
# - VASP energy (Ry/atom) = -0.2176

=====

# GGA-PBE Zr4AgHg, optimized geometry
data_Zr4AgHg
_symmetry_space_group_name_H-M 'P 4/m m m'
_symmetry_Int_Tables_number 123
_symmetry_space_group_name_Hall '-P 4 2'
_cell_length_a 3.193
_cell_length_b 3.193
_cell_length_c 12.909
_cell_angle_alpha 90.00
_cell_angle_beta 90.00
_cell_angle_gamma 90.00
loop_
_atom_site_label
_atom_site_type_symbol
_atom_site_fract_x
_atom_site_fract_y
_atom_site_fract_z
_atom_site_occupancy
Zr1 Zr 0.000 0.000 0.158 1
Zr2 Zr 0.500 0.500 0.329 1
Ag1 Ag 0.500 0.500 0.000 1
Hg1 Hg 0.000 0.000 0.500 1
# - energy of formation (eV per atom) = -0.12
# - energy relative to the lowest polymorph listed for this composition (meV per atom) = 0
# - VASP energy (Ry/atom) = -0.4665